VASP calculation (PBE) on a geometry-optimized Sr3NdHo3Te8 structure.

Output
Density of states at the Fermi level, states/eV/f.u.: 5.2
Electronic total energy, eV per atom: -4.754
Raw formation energy, meV/atom: -1509.2

Geometry as extended XYZ:
```
15
Lattice="4.4478 2.5680 7.5921 -4.4478 2.5680 7.5921 0.0000 -5.1359 7.5921" Properties=species:S:1:pos:R:3 pbc="T T T"
Sr -2.2239 -1.2840 7.5921
Sr -2.2239 1.2840 15.1843
Sr 0.0000 2.5680 7.5921
Nd 0.0000 0.0000 11.3882
Ho -4.4478 0.0000 11.3882
Ho -2.2239 1.2840 3.7961
Ho 2.2239 1.2840 3.7961
Te -2.3134 -1.3356 13.1767
Te 0.0000 0.0000 5.5374
Te 0.0000 -2.6713 9.5998
Te -2.3134 1.3356 9.5998
Te 2.3134 -1.3356 13.1766
Te 0.0000 2.6713 13.1766
Te 0.0000 0.0000 17.2391
Te 2.3134 1.3356 9.5998
```